i | Here is a relaxed MoAuCl crystal from the Alexandria database. Energies are from PBE.

The calculation puts the density of states at the Fermi level at 4.82 states/eV per cell. For the volume, the calculation gives 235.0 Å³/cell. For the total magnetization, the calculation gives 0.000 μB/atom.

It has space group F-43m (No. 216), with a = 6.1710 Å, b = 6.1710 Å, c = 6.1710 Å, α = 90.00°, β = 90.00° and γ = 90.00°. The distinct sites, in fractional coordinates, are Mo at (0.0000, 0.0000, 0.0000), Au at (0.2500, 0.2500, 0.2500) and Cl at (0.2500, 0.2500, 0.7500).



ii | Here is a relaxed MoAuCl crystal from the Alexandria database. Energies are from PBE.

The calculation puts the density of states at the Fermi level at 2.36 states/eV per cell. For the volume, the calculation gives 57.8 Å³/cell. For the total magnetization, the calculation gives 0.000 μB/atom.

It has space group P3m1 (No. 156), with a = 3.0362 Å, b = 3.0362 Å, c = 7.2399 Å, α = 90.00°, β = 90.00° and γ = 120.00°. The distinct sites, in fractional coordinates, are Mo at (0.0000, 0.0000, 0.0000), Au at (0.6667, 0.3333, 0.3077) and Cl at (0.3333, 0.6667, 0.7664).



iii | Here is a relaxed MoAuCl crystal from the Alexandria database. Energies are from PBE.

The calculation puts the density of states at the Fermi level at 4.49 states/eV per cell. For the volume, the calculation gives 118.7 Å³/cell. For the total magnetization, the calculation gives 0.000 μB/atom.

It has space group I4mm (No. 107), with a = 2.9730 Å, b = 2.9730 Å, c = 13.4275 Å, α = 90.00°, β = 90.00° and γ = 90.00°. The distinct sites, in fractional coordinates, are Mo at (0.0000, 0.0000, 0.0000), Au at (0.0000, 0.0000, 0.6349) and Cl at (0.0000, 0.0000, 0.3844).



iv | Here is a relaxed MoAuCl crystal from the Alexandria database. Energies are from PBE.

The calculation puts the density of states at the Fermi level at 3.65 states/eV per cell. For the volume, the calculation gives 51.0 Å³/cell. For the total magnetization, the calculation gives 0.000 μB/atom.

It has space group P-6m2 (No. 187), with a = 4.5233 Å, b = 4.5233 Å, c = 2.8788 Å, α = 90.00°, β = 90.00° and γ = 120.00°. The distinct sites, in fractional coordinates, are Mo at (0.0000, 0.0000, 0.0000), Au at (0.6667, 0.3333, 0.5000) and Cl at (0.3333, 0.6667, 0.0000).



It turns out ii is the most stable, with the second structure 15.7 kJ/mol of atoms higher.



i | Here is a relaxed MoPAuCl2 crystal from the Alexandria database. Energies are from PBE.

The calculation puts the density of states at the Fermi level at 4.25 states/eV per cell. For the volume, the calculation gives 108.5 Å³/cell. For the total magnetization, the calculation gives 0.118 μB/atom.

It has space group P4/mmm (No. 123), with a = 4.6989 Å, b = 4.6989 Å, c = 4.9147 Å, α = 90.00°, β = 90.00° and γ = 90.00°. The distinct sites, in fractional coordinates, are Mo at (0.0000, 0.0000, 0.0000), P at (0.0000, 0.0000, 0.5000), Au at (0.5000, 0.5000, 0.5000) and Cl at (0.0000, 0.5000, 0.0000).



ii | Here is a relaxed MoPAuCl2 crystal from the Alexandria database. Energies are from PBE.

The calculation puts the density of states at the Fermi level at 2.77 states/eV per cell. For the volume, the calculation gives 122.8 Å³/cell. For the total magnetization, the calculation gives 0.651 μB/atom.

It has space group P4/mmm (No. 123), with a = 4.9930 Å, b = 4.9930 Å, c = 4.9269 Å, α = 90.00°, β = 90.00° and γ = 90.00°. The distinct sites, in fractional coordinates, are Mo at (0.0000, 0.0000, 0.0000), P at (0.5000, 0.5000, 0.0000), Au at (0.5000, 0.5000, 0.5000) and Cl at (0.0000, 0.5000, 0.5000).



It turns out i is the most stable, with the second structure 66.1 kJ/mol of atoms higher.



i | Here is a relaxed MoAuSCl2 crystal from the Alexandria database. Energies are from PBE.

The calculation puts the density of states at the Fermi level at 3.10 states/eV per cell. For the volume, the calculation gives 112.6 Å³/cell. For the total magnetization, the calculation gives 0.402 μB/atom.

It has space group P4/mmm (No. 123), with a = 4.9237 Å, b = 4.9237 Å, c = 4.6444 Å, α = 90.00°, β = 90.00° and γ = 90.00°. The distinct sites, in fractional coordinates, are Mo at (0.0000, 0.0000, 0.0000), Au at (0.5000, 0.5000, 0.5000), S at (0.0000, 0.0000, 0.5000) and Cl at (0.0000, 0.5000, 0.0000).



ii | Here is a relaxed MoAuSCl2 crystal from the Alexandria database. Energies are from PBE.

The calculation puts the density of states at the Fermi level at 3.36 states/eV per cell. For the volume, the calculation gives 121.2 Å³/cell. For the total magnetization, the calculation gives 0.849 μB/atom.

It has space group P4/mmm (No. 123), with a = 4.8587 Å, b = 4.8587 Å, c = 5.1341 Å, α = 90.00°, β = 90.00° and γ = 90.00°. The distinct sites, in fractional coordinates, are Mo at (0.0000, 0.0000, 0.0000), Au at (0.5000, 0.5000, 0.5000), S at (0.5000, 0.5000, 0.0000) and Cl at (0.0000, 0.5000, 0.5000).



It turns out i is the most stable, with the second structure 61.5 kJ/mol of atoms higher.



i | Here is a relaxed MoAuS2Cl crystal from the Alexandria database. Energies are from PBE.

The calculation puts the density of states at the Fermi level at 4.83 states/eV per cell. For the volume, the calculation gives 106.3 Å³/cell. For the total magnetization, the calculation gives 0.000 μB/atom.

It has space group P4/mmm (No. 123), with a = 4.6587 Å, b = 4.6587 Å, c = 4.8980 Å, α = 90.00°, β = 90.00° and γ = 90.00°. The distinct sites, in fractional coordinates, are Mo at (0.0000, 0.0000, 0.0000), Au at (0.5000, 0.5000, 0.5000), S at (0.0000, 0.5000, 0.0000) and Cl at (0.0000, 0.0000, 0.5000).



ii | Here is a relaxed MoAuS2Cl crystal from the Alexandria database. Energies are from PBE.

The calculation puts the density of states at the Fermi level at 2.84 states/eV per cell. For the volume, the calculation gives 115.0 Å³/cell. For the total magnetization, the calculation gives 0.723 μB/atom.

It has space group P4/mmm (No. 123), with a = 4.9049 Å, b = 4.9049 Å, c = 4.7821 Å, α = 90.00°, β = 90.00° and γ = 90.00°. The distinct sites, in fractional coordinates, are Mo at (0.0000, 0.0000, 0.0000), Au at (0.5000, 0.5000, 0.5000), S at (0.0000, 0.5000, 0.5000) and Cl at (0.5000, 0.5000, 0.0000).



It turns out i is the most stable, with the second structure 72.0 kJ/mol of atoms higher.



i | Here is a relaxed AuNCl2 crystal from the Alexandria database. Energies are from PBE.

The calculation puts the density of states at the Fermi level at 0.00 states/eV per cell. For the volume, the calculation gives 329.0 Å³/cell. For the total magnetization, the calculation gives 0.000 μB/atom.

It has space group I-42d (No. 122), with a = 5.1672 Å, b = 5.1672 Å, c = 12.3230 Å, α = 90.00°, β = 90.00° and γ = 90.00°. The distinct sites, in fractional coordinates, are Au at (0.0000, 0.0000, 0.0000), N at (0.0000, 0.0000, 0.5000) and Cl at (0.1601, 0.2500, 0.6250).



ii | Here is a relaxed AuNCl2 crystal from the Alexandria database. Energies are from PBE.

The calculation puts the density of states at the Fermi level at 10.26 states/eV per cell. For the volume, the calculation gives 304.6 Å³/cell. For the total magnetization, the calculation gives 0.500 μB/atom.

It has space group R-3m (No. 166, hexagonal axes), with a = 4.0114 Å, b = 4.0114 Å, c = 21.8579 Å, α = 90.00°, β = 90.00° and γ = 120.00°. The distinct sites, in fractional coordinates, are Au at (0.0000, 0.0000, 0.0000), N at (0.0000, 0.0000, 0.5000) and Cl at (0.0000, 0.0000, 0.1028).



It turns out ii is the most stable, with the second structure 5.6 kJ/mol of atoms higher.



i | Here is a relaxed AuNCl2 crystal from the Alexandria database. Energies are from PBE.

The calculation puts the density of states at the Fermi level at 9.13 states/eV per cell. For the volume, the calculation gives 213.1 Å³/cell. For the total magnetization, the calculation gives 0.000 μB/atom.

It has space group R-3m (No. 166, hexagonal axes), with a = 3.1039 Å, b = 3.1039 Å, c = 25.5399 Å, α = 90.00°, β = 90.00° and γ = 120.00°. The distinct sites, in fractional coordinates, are Au at (0.0000, 0.0000, 0.0000), N at (0.0000, 0.0000, 0.5000) and Cl at (0.0000, 0.0000, 0.4290).



ii | Here is a relaxed AuNCl2 crystal from the Alexandria database. Energies are from PBE.

The calculation puts the density of states at the Fermi level at 15.51 states/eV per cell. For the volume, the calculation gives 289.1 Å³/cell. For the total magnetization, the calculation gives 0.500 μB/atom.

It has space group Fm-3m (No. 225), with a = 6.6120 Å, b = 6.6120 Å, c = 6.6120 Å, α = 90.00°, β = 90.00° and γ = 90.00°. The distinct sites, in fractional coordinates, are Au at (0.0000, 0.0000, 0.0000), N at (0.0000, 0.0000, 0.5000) and Cl at (0.2500, 0.2500, 0.2500).



It turns out i is the most stable, with the second structure 15.0 kJ/mol of atoms higher.